Density functional theory data (PBE-GGA) for a geometry-optimized BaNaIn3 structure.

Calculated values
Excess energy over the best structure of this formula in the dataset: 305 meV/atom
DFT formation energy: 0.051 eV/atom
Symmetry: Pm-3m, No. 221
E: -11.2 eV/f.u.
Spin magnetization: 0.00 μB per atom

Cell: 5.581 5.581 5.581 Å, 90.00 90.00 90.00°
Fractional positions:
Ba 0.000 0.000 0.000
Na 0.500 0.500 0.500
In 0.000 0.500 0.500
In 0.500 0.000 0.500
In 0.500 0.500 0.000